VASP calculation (PBE) on a geometry-optimized BaNbH structure.

Output
- calculated total energy (hartree per atom) = -0.182
- SG = No. 6
- energy above the lowest structure with this stoichiometry (meV per atom) = 77
- total moment (μB per formula unit) = 0.00

POSCAR file:
```
BaNbH
1.0
3.459 0.000 0.000
0.000 3.917 0.000
-1.669 0.000 10.353
H Nb Ba
2 2 2
Cartesian
1.508 0.000 8.588
1.509 0.000 6.273
-0.223 0.000 7.387
1.511 1.959 8.555
1.510 1.959 4.723
1.459 0.000 0.771
```

***

VASP calculation (PBE) on a geometry-optimized ZrTi2Re2 structure.

Output
- calculated total energy (hartree per atom) = -0.362
- ΔH_f (0 K) (meV/atom) = -16.2
- SG = No. 127
- total moment (μB per formula unit) = 0.00

POSCAR file:
```
ZrTi2Re2
1.0
-5.149 -0.622 -5.405
4.196 -5.192 -3.399
-1.430 -2.214 1.617
Zr Ti Re
2 4 4
Cartesian
-0.477 -2.907 -4.402
0.000 0.000 0.000
-0.445 -5.949 -5.583
1.245 -4.544 -2.164
-3.628 -3.485 -5.023
-1.938 -2.079 -1.604
-2.717 -1.184 -4.024
0.695 -1.910 -2.001
-1.648 -3.904 -6.803
1.764 -4.630 -4.780
```

***

VASP calculation (PBE) on a geometry-optimized TbHo2Tm structure.

Output
- calculated total energy (hartree per atom) = -0.167
- ΔH_f (0 K) (meV/atom) = 22.4
- SG = No. 123
- energy above the lowest structure with this stoichiometry (meV per atom) = 20
- total moment (μB per formula unit) = 0.00

POSCAR file:
```
TbHo2Tm
1.0
-2.034 -1.005 -4.428
-1.611 -4.374 1.733
-4.243 2.143 1.463
Ho Tb Tm
2 1 1
Cartesian
-2.121 1.071 0.731
-0.806 -2.187 0.866
-3.944 -1.618 -0.616
-1.017 -0.502 -2.214
```

***

VASP calculation (PBE) on a geometry-optimized CaMg2Zr structure.

Output
- calculated total energy (hartree per atom) = -0.115
- ΔH_f (0 K) (meV/atom) = 312.9
- SG = No. 216
- total moment (μB per formula unit) = 1.45

POSCAR file:
```
CaMg2Zr
1.0
5.272 0.000 0.000
2.636 4.566 0.000
2.636 1.522 4.305
Mg Ca Zr
2 1 1
Cartesian
0.000 0.000 0.000
2.636 1.522 1.076
5.272 3.044 2.152
7.908 4.566 3.228
```

***

VASP calculation (PBE) on a geometry-optimized NaPrCdPb structure.

Output
- calculated total energy (hartree per atom) = -0.110
- ΔH_f (0 K) (meV/atom) = -313.5
- SG = No. 47
- energy above the lowest structure with this stoichiometry (meV per atom) = 4
- total moment (μB per formula unit) = 0.00

POSCAR file:
```
NaPrCdPb
1.0
-3.922 -0.655 -1.940
0.986 -4.787 -0.377
-2.198 -0.825 4.721
Pr Cd Pb Na
1 1 1 1
Cartesian
-3.060 -0.740 1.390
0.000 0.000 0.000
-0.606 -2.806 2.172
-1.468 -2.721 -1.159
```

***

VASP calculation (PBE) on a geometry-optimized SrHf2RuO8 structure.

Output
- calculated total energy (hartree per atom) = -0.305
- SG = No. 10
- total moment (μB per formula unit) = 2.00
- uncorrected formation energy (eV per formula unit) = -28.94

POSCAR file:
```
SrHf2RuO8
1.0
4.940 0.064 -0.003
0.102 4.915 -0.005
0.004 0.007 6.629
O Hf Ru Sr
8 2 1 1
Cartesian
3.977 1.067 5.303
3.974 1.063 1.318
1.072 3.923 5.302
1.069 3.919 1.317
3.575 3.555 6.622
1.471 1.432 -0.003
3.364 3.371 3.308
1.682 1.616 3.311
2.524 2.495 4.953
2.522 2.491 1.667
0.000 0.000 0.000
0.002 0.004 3.314
```

***

VASP calculation (PBE) on a geometry-optimized Ba2Cd3SnGe4 structure.

Output
- calculated total energy (hartree per atom) = -0.118
- ΔH_f (0 K) (meV/atom) = -304.6
- SG = No. 115
- total moment (μB per formula unit) = 0.00

POSCAR file:
```
Ba2Cd3SnGe4
1.0
4.916 0.000 0.000
0.000 4.916 0.000
0.000 0.000 11.095
Sn Ge Cd Ba
1 4 3 2
Cartesian
2.458 2.458 5.547
0.000 2.458 4.072
2.458 2.458 0.000
0.000 0.000 0.000
2.458 0.000 7.023
2.458 0.000 9.739
0.000 2.458 1.355
0.000 0.000 5.547
2.458 0.000 2.642
0.000 2.458 8.453
```

***

VASP calculation (PBE) on a geometry-optimized GaSnHg2 structure.

Output
- calculated total energy (hartree per atom) = -0.067
- ΔH_f (0 K) (meV/atom) = 75.0
- SG = No. 8
- energy above the lowest structure with this stoichiometry (meV per atom) = 11
- total moment (μB per formula unit) = 0.00

POSCAR file:
```
GaSnHg2
1.0
-0.580 -3.522 -0.014
-0.186 -1.794 3.080
-9.193 -0.507 1.453
Sn Hg Ga
1 2 1
Cartesian
-4.976 -2.980 2.298
-7.146 -0.805 1.359
-2.292 -1.424 1.087
-0.524 -3.526 2.036
```

***

VASP calculation (PBE) on a geometry-optimized ZrFe3Si structure.

Output
- calculated total energy (hartree per atom) = -0.227
- SG = No. 221
- energy above the lowest structure with this stoichiometry (meV per atom) = 1468
- total moment (μB per formula unit) = 6.11
- uncorrected formation energy (eV per formula unit) = 8.44

POSCAR file:
```
ZrFe3Si
1.0
-2.573 -3.595 -1.245
2.794 -2.806 2.327
-2.581 0.547 3.759
Fe Zr Si
3 1 1
Cartesian
1.397 -1.403 1.163
-1.287 -1.797 -0.622
-1.291 0.273 1.880
0.000 0.000 0.000
-1.180 -2.927 2.421
```

***

VASP calculation (PBE) on a geometry-optimized Dy3HoEr6 structure.

Output
- calculated total energy (hartree per atom) = -0.164
- ΔH_f (0 K) (meV/atom) = 123.3
- SG = No. 36
- energy above the lowest structure with this stoichiometry (meV per atom) = 0
- total moment (μB per formula unit) = 0.00

POSCAR file:
```
Dy3HoEr6
1.0
-5.236 -2.875 -1.992
1.801 4.012 -10.525
3.421 -9.678 4.975
Ho Er Dy
2 12 6
Cartesian
-0.635 0.320 -9.049
3.079 -7.511 2.442
1.210 -1.158 -2.841
3.114 -3.224 -4.865
-1.163 -3.217 -8.798
-1.211 -4.264 -1.947
-1.193 -7.816 -1.267
2.164 -7.774 -1.015
0.782 -0.943 -6.426
-0.894 -11.834 3.116
0.694 -6.330 -3.972
-3.004 -1.220 -6.841
0.323 -5.777 0.942
0.151 2.893 -10.935
-0.632 -9.297 -4.605
-0.622 -3.448 -5.189
2.254 -4.189 -1.727
-1.884 -0.617 -3.888
1.573 -4.368 -7.562
-4.089 -5.546 -0.931
```

***

VASP calculation (PBE) on a geometry-optimized Zn5GaCu3 structure.

Output
- calculated total energy (hartree per atom) = -0.087
- ΔH_f (0 K) (meV/atom) = 55.5
- SG = No. 12
- total moment (μB per formula unit) = 0.00

POSCAR file:
```
Zn5GaCu3
1.0
6.184 -0.956 1.185
0.774 6.209 1.185
3.713 2.804 8.912
Zn Cu Ga
10 6 2
Cartesian
6.744 5.092 6.743
7.737 2.931 5.021
4.940 3.730 2.333
3.927 2.965 4.540
5.731 4.328 8.950
5.734 1.418 6.262
2.934 5.126 6.262
4.750 0.943 1.185
2.207 4.311 1.185
4.937 6.639 5.021
5.878 4.438 4.508
4.793 3.619 6.775
7.743 5.847 8.960
2.928 2.211 2.323
0.000 0.000 0.000
1.857 1.402 4.456
9.744 7.357 9.073
0.927 0.700 2.210
```

***

VASP calculation (PBE) on a geometry-optimized LiY2TlO structure.

Output
- calculated total energy (hartree per atom) = -0.214
- SG = No. 123
- total moment (μB per formula unit) = 0.00
- uncorrected formation energy (eV per formula unit) = -6.99

POSCAR file:
```
LiY2TlO
1.0
4.807 0.000 0.000
0.000 4.807 0.000
0.000 0.000 4.289
Y O Tl Li
2 1 1 1
Cartesian
0.000 2.403 0.000
2.403 0.000 0.000
0.000 0.000 0.000
2.403 2.403 2.145
0.000 0.000 2.145
```

***

VASP calculation (PBE) on a geometry-optimized CsTeS2 structure.

Output
- calculated total energy (hartree per atom) = -0.116
- SG = No. 166
- total moment (μB per formula unit) = 0.00
- uncorrected formation energy (eV per formula unit) = -0.42

POSCAR file:
```
CsTeS2
1.0
2.482 0.000 9.161
-1.241 2.150 9.161
-1.241 -2.150 9.161
Te S Cs
1 2 1
Cartesian
0.000 0.000 13.742
0.000 0.000 24.182
0.000 0.000 3.303
0.000 0.000 0.000
```

***

VASP calculation (PBE) on a geometry-optimized RePb2 structure.

Output
- calculated total energy (hartree per atom) = -0.217
- ΔH_f (0 K) (meV/atom) = 723.7
- SG = No. 63
- energy above the lowest structure with this stoichiometry (meV per atom) = 163
- total moment (μB per formula unit) = 0.00

POSCAR file:
```
RePb2
1.0
4.900 4.409 -7.039
-6.898 -5.272 4.198
-2.526 3.800 0.621
Pb Re
4 2
Cartesian
-0.671 4.243 -3.073
-0.649 1.323 -2.200
-3.875 1.613 -0.020
-3.854 -1.306 0.852
-8.418 -2.115 4.307
3.894 5.052 -6.528
```

***

VASP calculation (PBE) on a geometry-optimized PdSeN2Cl structure.

Output
- calculated total energy (hartree per atom) = -0.124
- SG = No. 123
- energy above the lowest structure with this stoichiometry (meV per atom) = 549
- total moment (μB per formula unit) = 0.87
- uncorrected formation energy (eV per formula unit) = 10.34

POSCAR file:
```
PdSeN2Cl
1.0
3.596 0.000 0.000
0.000 3.596 0.000
0.000 0.000 7.810
N Cl Pd Se
2 1 1 1
Cartesian
1.798 0.000 0.000
0.000 1.798 0.000
0.000 0.000 0.000
1.798 1.798 3.905
0.000 0.000 3.905
```

***

VASP calculation (PBE) on a geometry-optimized TmBe9Nb2 structure.

Output
- calculated total energy (hartree per atom) = -0.185
- ΔH_f (0 K) (meV/atom) = -181.0
- SG = No. 194
- total moment (μB per formula unit) = 0.00

POSCAR file:
```
TmBe9Nb2
1.0
4.670 0.000 0.000
-2.335 4.044 0.000
0.000 0.000 14.504
Be Nb Tm
18 4 2
Cartesian
2.335 2.672 12.706
1.188 0.686 9.050
0.000 0.000 3.626
0.000 1.372 5.454
3.482 0.686 12.706
2.335 2.672 9.050
2.335 1.348 10.878
-1.147 3.358 1.798
1.147 3.358 5.454
1.188 0.686 12.706
0.000 1.372 1.798
0.000 0.000 7.252
-1.147 3.358 5.454
0.000 0.000 10.878
1.147 3.358 1.798
0.000 0.000 0.000
3.482 0.686 9.050
0.000 2.696 3.626
2.335 1.348 0.497
2.335 1.348 6.755
0.000 2.696 14.007
0.000 2.696 7.749
2.335 1.348 3.626
0.000 2.696 10.878
```

***

VASP calculation (PBE) on a geometry-optimized Pm3DyAl8 structure.

Output
- calculated total energy (hartree per atom) = -0.168
- ΔH_f (0 K) (meV/atom) = -509.3
- SG = No. 160
- energy above the lowest structure with this stoichiometry (meV per atom) = 0
- total moment (μB per formula unit) = 0.00

POSCAR file:
```
Pm3DyAl8
1.0
5.628 0.000 0.000
2.814 4.874 0.000
2.814 1.625 9.225
Al Pm Dy
8 3 1
Cartesian
9.847 5.685 6.325
2.814 1.625 4.030
4.222 2.438 1.748
7.038 5.685 6.325
5.628 4.873 1.748
7.034 2.438 1.748
8.442 3.252 6.325
8.442 4.874 8.654
8.442 4.874 0.007
5.628 3.249 4.614
5.628 3.249 8.073
8.442 4.874 3.449
```

***

VASP calculation (PBE) on a geometry-optimized KZn2SnOs structure.

Output
- calculated total energy (hartree per atom) = -0.137
- ΔH_f (0 K) (meV/atom) = 58.7
- SG = No. 123
- total moment (μB per formula unit) = 0.00

POSCAR file:
```
KZn2SnOs
1.0
-4.588 -0.530 -1.945
0.664 -4.962 -0.212
-1.920 -0.455 4.653
Zn Os Sn K
2 1 1 1
Cartesian
-2.294 -0.265 -0.972
0.332 -2.481 -0.106
0.000 0.000 0.000
-0.960 -0.228 2.327
-2.922 -2.974 1.249
```

***

VASP calculation (PBE) on a geometry-optimized CsPtW2 structure.

Output
- calculated total energy (hartree per atom) = -0.239
- ΔH_f (0 K) (meV/atom) = 1687.4
- SG = No. 122
- energy above the lowest structure with this stoichiometry (meV per atom) = 0
- total moment (μB per formula unit) = 0.00

POSCAR file:
```
CsPtW2
1.0
4.721 0.000 0.000
0.000 4.721 0.000
2.360 2.360 9.550
W Cs Pt
4 2 2
Cartesian
5.129 3.541 2.388
5.901 1.952 7.163
3.541 2.769 7.163
4.313 1.180 2.388
2.360 4.721 4.775
2.360 2.360 0.000
0.000 0.000 0.000
4.721 2.360 4.775
```

***

VASP calculation (PBE) on a geometry-optimized TcRuO2F structure.

Output
- calculated total energy (hartree per atom) = -0.242
- SG = No. 123
- total moment (μB per formula unit) = 2.72
- uncorrected formation energy (eV per formula unit) = -1.52

POSCAR file:
```
TcRuO2F
1.0
-0.783 -3.578 1.222
2.993 0.176 2.434
-2.568 1.601 3.042
Tc O Ru F
1 2 1 1
Cartesian
0.000 0.000 0.000
1.496 0.088 1.217
-0.392 -1.789 0.611
-0.179 -0.901 3.349
-1.284 0.800 1.521
```

***

VASP calculation (PBE) on a geometry-optimized Pr7Sm2Cd2 structure.

Output
- calculated total energy (hartree per atom) = -0.148
- ΔH_f (0 K) (meV/atom) = 32.8
- SG = No. 12
- total moment (μB per formula unit) = 0.00

POSCAR file:
```
Pr7Sm2Cd2
1.0
-2.919 -6.042 4.983
-0.576 -3.190 -5.980
6.659 -1.238 0.626
Pr Cd Sm
7 2 2
Cartesian
0.000 0.000 0.000
2.145 -4.475 -4.159
-1.980 -6.804 1.048
5.145 -3.666 -1.420
0.518 -4.248 0.689
2.647 -6.222 -1.060
1.019 -5.995 3.787
2.008 -2.571 -1.440
1.156 -7.899 1.068
-0.742 -5.862 -2.308
3.907 -4.608 1.936
```

***

VASP calculation (PBE) on a geometry-optimized Li2Ac3MgPd9 structure.

Output
- calculated total energy (hartree per atom) = -0.177
- ΔH_f (0 K) (meV/atom) = -513.0
- SG = No. 164
- total moment (μB per formula unit) = 0.00

POSCAR file:
```
Li2Ac3MgPd9
1.0
-3.186 6.012 1.306
-3.671 -5.473 -2.138
-1.002 -2.037 6.935
Ac Pd Mg Li
3 9 1 2
Cartesian
-3.678 1.512 2.443
-4.181 -3.011 3.660
0.000 0.000 0.000
-3.945 2.555 5.324
-5.610 0.073 4.355
-5.358 -1.327 1.371
-2.501 -0.171 4.732
-1.593 3.006 0.653
-3.913 -4.053 0.779
-1.835 -2.737 -1.069
-3.428 0.269 -0.416
-2.249 -1.571 1.748
-0.501 -1.019 3.468
-4.213 0.423 6.150
-3.645 -1.922 -0.047
```

***

VASP calculation (PBE) on a geometry-optimized Sc2CoMo structure.

Output
- calculated total energy (hartree per atom) = -0.281
- ΔH_f (0 K) (meV/atom) = -7.5
- SG = No. 123
- total moment (μB per formula unit) = 0.00

POSCAR file:
```
Sc2CoMo
1.0
-2.180 -1.321 1.490
1.342 -2.607 -0.347
3.861 1.106 6.629
Co Sc Mo
1 2 1
Cartesian
0.546 -1.687 2.229
0.150 0.043 0.257
1.781 0.510 3.057
2.477 -1.134 5.543
```

***

VASP calculation (PBE) on a geometry-optimized YBeAu2 structure.

Output
- calculated total energy (hartree per atom) = -0.171
- ΔH_f (0 K) (meV/atom) = -462.9
- SG = No. 160
- total moment (μB per formula unit) = 0.00

POSCAR file:
```
YBeAu2
1.0
-3.105 -1.834 -2.249
0.934 -3.000 -2.862
-1.201 -5.099 1.796
Au Y Be
2 1 1
Cartesian
-2.469 -7.008 -2.930
-1.161 -4.806 1.502
-0.856 -2.582 -0.728
-1.774 -5.603 -1.021
```